Here is an optimized crystal structure of AcTb2Y8 from Alexandria. Energies are from PBE.

mass density = 5585 kg/m3
ΔE_f = 127 meV per atom
total energy = -5.790 eV/atom
space-group type = No. 71
excess energy over the best structure of this formula in the dataset = 0.04 eV per formula unit

a = 5.516 Å, b = 8.289 Å, c = 9.565 Å
α = 115.68°, β = 106.76°, γ = 90.00°
Sites, in units of the cell vectors:
Ac (0.500, 0.000, 0.000)
Tb (0.199, 0.699, 0.397)
Tb (0.801, 0.301, 0.603)
Y (0.646, 0.852, 0.292)
Y (0.354, 0.560, 0.708)
Y (0.163, 0.163, 0.326)
Y (0.000, 0.298, 0.000)
Y (0.837, 0.837, 0.674)
Y (0.646, 0.440, 0.292)
Y (0.354, 0.148, 0.708)
Y (0.000, 0.702, 0.000)



Here is an optimized crystal structure of BeIr2W from Alexandria. Energies are from PBE.

mass density = 16992 kg/m3
ΔE_f = 108 meV per atom
total energy = -8.492 eV/atom
space-group type = No. 12

a = 5.065 Å, b = 5.065 Å, c = 2.722 Å
α = 76.40°, β = 76.40°, γ = 115.75°
Sites, in units of the cell vectors:
Be (0.000, 0.500, 0.500)
Ir (0.000, 0.000, 0.000)
Ir (0.500, 0.500, 0.000)
W (0.500, 0.000, 0.500)



Here is an optimized crystal structure of La6Tm8Mg from Alexandria. Energies are from PBE.

mass density = 7402 kg/m3
ΔE_f = 131 meV per atom
total energy = -4.331 eV/atom
space-group type = No. 148

a = 8.313 Å, b = 8.313 Å, c = 8.313 Å
α = 70.68°, β = 70.68°, γ = 70.68°
Sites, in units of the cell vectors:
La (0.162, 0.432, 0.621)
La (0.379, 0.838, 0.568)
La (0.568, 0.379, 0.838)
La (0.432, 0.621, 0.162)
La (0.621, 0.162, 0.432)
La (0.838, 0.568, 0.379)
Tm (0.122, 0.635, 0.944)
Tm (0.056, 0.878, 0.365)
Tm (0.365, 0.056, 0.878)
Tm (0.763, 0.763, 0.763)
Tm (0.237, 0.237, 0.237)
Tm (0.635, 0.944, 0.122)
Tm (0.944, 0.122, 0.635)
Tm (0.878, 0.365, 0.056)
Mg (0.000, 0.000, 0.000)



Here is an optimized crystal structure of LiPmCl2O from Alexandria. Energies are from PBE.

mass density = 4176 kg/m3
total energy = -5.587 eV/atom
ΔE_f (raw) = -2524 meV/atom
space-group type = No. 129

a = 3.929 Å, b = 3.929 Å, c = 12.304 Å
α = 90.00°, β = 90.00°, γ = 90.00°
Sites, in units of the cell vectors:
Li (0.500, 0.000, 0.089)
Li (0.000, 0.500, 0.911)
Pm (0.500, 0.000, 0.599)
Pm (0.000, 0.500, 0.401)
Cl (0.000, 0.500, 0.710)
Cl (0.000, 0.500, 0.105)
Cl (0.500, 0.000, 0.895)
Cl (0.500, 0.000, 0.290)
O (0.000, 0.000, 0.500)
O (0.500, 0.500, 0.500)



> Number 1 is which compound?

AcTb2Y8



> What is the mass density in the third record?

7402 kg/m3